VASP calculation (PBE-GGA) on an optimized crystal structure of NaNb3Se5.

The calculated total energy comes out at -54.8 eV per cell. The spin magnetization is 0.24 μB/cell.

The structure belongs to space group P6/mmm (No. 191); the cell edges are 5.8103, 5.8103 and 7.6346 Å and the angles 90.00°, 90.00° and 120.00°. The distinct sites, in fractional coordinates, are Na at (0.0000, 0.0000, 0.0000), Nb at (0.0000, 0.5000, 0.5000), Se at (0.0000, 0.0000, 0.5000) and Se at (0.3333, 0.6667, 0.2312).

***

VASP calculation (PBE-GGA) on an optimized crystal structure of Na3NbSe4.

The calculated total energy comes out at -71.2 eV per cell. The spin magnetization is 0.00 μB/cell.

The structure belongs to space group I-43m (No. 217); the cell edges are 7.383, 7.383 and 7.383 Å and the angles 90.00°, 90.00° and 90.00°. The distinct sites, in fractional coordinates, are Na at (0.000, 0.000, 0.500), Nb at (0.000, 0.000, 0.000) and Se at (0.190, 0.190, 0.190).

***

VASP calculation (PBE-GGA) on an optimized crystal structure of Na2TaNbSe4.

The calculated total energy comes out at -46.3 eV per cell. The spin magnetization is 0.00 μB/cell.

The structure belongs to space group P-6m2 (No. 187); the cell edges are 3.5550, 3.5550 and 14.9543 Å and the angles 90.00°, 90.00° and 120.00°. The distinct sites, in fractional coordinates, are Na at (0.0000, 0.0000, 0.2500), Ta at (0.0000, 0.0000, 0.0000), Nb at (0.0000, 0.0000, 0.5000), Se at (0.3333, 0.6667, 0.3895) and Se at (0.6667, 0.3333, 0.1103).

***

VASP calculation (PBE-GGA) on an optimized crystal structure of NaNbSi.

The calculated total energy comes out at -60.3 eV per cell. For the relative energy among the computed polymorphs, the calculation gives 0 meV per atom. The spin magnetization is 4.04 μB/cell.

The structure belongs to space group F-43m (No. 216); the cell edges are 6.243, 6.243 and 6.243 Å and the angles 90.00°, 90.00° and 90.00°. The distinct sites, in fractional coordinates, are Na at (0.000, 0.000, 0.000), Nb at (0.000, 0.000, 0.500) and Si at (0.250, 0.250, 0.250).

***

VASP calculation (PBE-GGA) on an optimized crystal structure of NaNb3Si5.

The calculated total energy comes out at -59.1 eV per cell. The spin magnetization is 0.01 μB/cell.

The structure belongs to space group P6/mmm (No. 191); the cell edges are 5.6252, 5.6252 and 6.4294 Å and the angles 90.00°, 90.00° and 120.00°. The distinct sites, in fractional coordinates, are Na at (0.0000, 0.0000, 0.0000), Nb at (0.0000, 0.5000, 0.5000), Si at (0.0000, 0.0000, 0.5000) and Si at (0.3333, 0.6667, 0.1803).

***

VASP calculation (PBE-GGA) on an optimized crystal structure of NaSrNb.

The calculated total energy comes out at -35.8 eV per cell. For the relative energy among the computed polymorphs, the calculation gives 0 meV per atom. The spin magnetization is 19.81 μB/cell.

The structure belongs to space group F-43m (No. 216); the cell edges are 7.800, 7.800 and 7.800 Å and the angles 90.00°, 90.00° and 90.00°. The distinct sites, in fractional coordinates, are Na at (0.000, 0.000, 0.000), Sr at (0.000, 0.000, 0.500) and Nb at (0.250, 0.250, 0.250).

***

VASP calculation (PBE-GGA) on an optimized crystal structure of NaSrNb.

The calculated total energy comes out at -33.8 eV per cell. For the relative energy among the computed polymorphs, the calculation gives 164 meV per atom. The spin magnetization is 19.58 μB/cell.

The structure belongs to space group F-43m (No. 216); the cell edges are 7.844, 7.844 and 7.844 Å and the angles 90.00°, 90.00° and 90.00°. The distinct sites, in fractional coordinates, are Na at (0.000, 0.000, 0.000), Sr at (0.250, 0.250, 0.250) and Nb at (0.000, 0.000, 0.500).

***

VASP calculation (PBE-GGA) on an optimized crystal structure of Na2TaNbTe4.

The calculated total energy comes out at -41.7 eV per cell. The spin magnetization is 0.00 μB/cell.

The structure belongs to space group P-6m2 (No. 187); the cell edges are 3.7960, 3.7960 and 16.2194 Å and the angles 90.00°, 90.00° and 120.00°. The distinct sites, in fractional coordinates, are Na at (0.0000, 0.0000, 0.2500), Ta at (0.0000, 0.0000, 0.0000), Nb at (0.0000, 0.0000, 0.5000), Te at (0.3333, 0.6667, 0.3903) and Te at (0.6667, 0.3333, 0.1093).

***

- Number 7 is which compound?
  NaSrNb

***

- Which value of calculated total energy does entry 1 give?
  -54.8 eV per cell

***

- Among the records above, which one has the highest spin magnetization?
  number 6

***

- What is the formula in the fourth record?
  NaNbSi